Below is a geometry-optimized Sr2ZrAlS5 structure, with properties calculated at the GGA-PBE level.

Lattice parameters (Å, degrees): 3.834 8.886 12.537 90.00 90.00 102.46
Fractional coordinates of all 18 atoms:
Sr 0.867 0.735 0.820
Sr 0.119 0.238 0.685
Sr 0.133 0.265 0.320
Sr 0.881 0.762 0.185
Zr 0.792 0.583 0.528
Zr 0.208 0.417 0.028
Al 0.560 0.119 0.931
Al 0.440 0.881 0.431
S 0.352 0.704 0.006
S 0.687 0.373 0.877
S 0.499 0.998 0.776
S 0.294 0.589 0.668
S 0.952 0.904 0.533
S 0.648 0.296 0.506
S 0.313 0.627 0.377
S 0.501 0.002 0.276
S 0.706 0.411 0.168
S 0.048 0.096 0.033

Values from the calculation:
Total magnetic moment: 0.309 μB per formula unit
Volume: 23.17 A^3/atom
Density: 3.6 g/cm³
Symmetry: No. 36
Electronic total energy: -102.6 eV per cell
ΔE_f (raw): -1667 meV/atom

---

Below is a geometry-optimized PuTl2Cd structure, with properties calculated at the GGA-PBE level.

Lattice parameters (Å, degrees): 4.380 4.957 4.957 90.00 90.00 90.00
Fractional coordinates of all 4 atoms:
Tl 0.000 0.000 0.500
Tl 0.000 0.500 0.000
Cd 0.500 0.000 0.000
Pu 0.500 0.500 0.500

Values from the calculation:
Total magnetic moment: 5.910 μB per formula unit
Volume: 26.91 A^3/atom
Density: 11.8 g/cm³
Symmetry: No. 123
Electronic total energy: -20.1 eV per cell
Formation energy from the elements: -25 meV per atom

---

Below is a geometry-optimized SiAgPb2 structure, with properties calculated at the GGA-PBE level.

Lattice parameters (Å, degrees): 4.201 4.336 5.909 67.85 90.00 90.00
Fractional coordinates of all 4 atoms:
Ag 0.500 0.554 0.764
Pb 0.000 0.974 0.924
Pb 0.500 0.273 0.332
Si 0.000 0.699 0.479

Values from the calculation:
Total magnetic moment: 0.000 μB per formula unit
Volume: 24.92 A^3/atom
Density: 9.2 g/cm³
Symmetry: No. 6
Electronic total energy: -14.8 eV per cell
ΔE_f (raw): 233 meV/atom

---

Below is a geometry-optimized YHo2AlO structure, with properties calculated at the GGA-PBE level.

Lattice parameters (Å, degrees): 4.754 4.692 4.692 90.00 90.00 90.00
Fractional coordinates of all 5 atoms:
Y 0.500 0.000 0.000
Ho 0.000 0.000 0.500
Ho 0.000 0.500 0.000
Al 0.500 0.500 0.500
O 0.000 0.000 0.000

Values from the calculation:
Total magnetic moment: 0.000 μB per formula unit
Volume: 20.93 A^3/atom
Density: 7.3 g/cm³
Symmetry: No. 123
Electronic total energy: -31.2 eV per cell
ΔE_f (raw): -1368 meV/atom